No. 1
## PuTh2Hg3 (PBE-GGA)

Data for crystalline PuTh2Hg3 at its relaxed geometry. Values from VASP.

Cell and atoms, written as Quantum ESPRESSO input:
```
&SYSTEM
  ibrav = 0, nat = 6, ntyp = 3
/
ATOMIC_SPECIES
Pu 244.00 Pu.upf
Th 232.04 Th.upf
Hg 200.59 Hg.upf
CELL_PARAMETERS angstrom
3.408 0.000 0.000
0.000 3.408 0.000
0.000 0.000 13.815
ATOMIC_POSITIONS crystal
Pu 0.000 0.000 0.000
Th 0.000 0.000 0.332
Th 0.000 0.000 0.668
Hg 0.500 0.500 0.163
Hg 0.500 0.500 0.500
Hg 0.500 0.500 0.837
```

Properties
The value obtained for the total moment is 0.963 μB per atom. Its density of states at the Fermi level is 1.89 states/eV per atom. The formation energy is -0.184 eV per atom.



No. 2
## SrTaMo (PBE-GGA)

Data for crystalline SrTaMo at its relaxed geometry. Values from VASP.

Cell and atoms, written as Quantum ESPRESSO input:
```
&SYSTEM
  ibrav = 0, nat = 6, ntyp = 3
/
ATOMIC_SPECIES
Sr 87.62 Sr.upf
Ta 180.95 Ta.upf
Mo 95.94 Mo.upf
CELL_PARAMETERS angstrom
5.361 -1.652 0.000
5.361 1.652 0.000
-3.411 0.000 8.567
ATOMIC_POSITIONS crystal
Sr 0.000 0.000 0.000
Sr 0.672 0.672 0.735
Ta 0.327 0.327 0.208
Ta 0.672 0.672 0.350
Mo 0.344 0.344 0.537
Mo 0.979 0.979 0.414
```

Properties
The value obtained for the total moment is 0.000 μB per atom. The value obtained for the energy above the most stable polymorph in this dataset is 52 meV/atom. Its density of states at the Fermi level is 1.04 states/eV per atom. The formation energy is 0.564 eV per atom.



No. 3
## SmPaGa2 (PBE-GGA)

Data for crystalline SmPaGa2 at its relaxed geometry. Values from VASP.

Cell and atoms, written as Quantum ESPRESSO input:
```
&SYSTEM
  ibrav = 0, nat = 4, ntyp = 3
/
ATOMIC_SPECIES
Sm 150.36 Sm.upf
Pa 231.04 Pa.upf
Ga 69.72 Ga.upf
CELL_PARAMETERS angstrom
1.741 1.005 9.304
-1.741 1.005 9.304
0.000 -2.011 9.304
ATOMIC_POSITIONS crystal
Sm 0.000 0.000 0.000
Pa 0.500 0.500 0.500
Ga 0.250 0.250 0.250
Ga 0.750 0.750 0.750
```

Properties
The value obtained for the total moment is 0.000 μB per atom. The value obtained for the energy above the most stable polymorph in this dataset is 206 meV/atom. Its density of states at the Fermi level is 1.25 states/eV per atom. The formation energy is -0.168 eV per atom.



No. 4
## Y2TlAuO5 (PBE-GGA)

Data for crystalline Y2TlAuO5 at its relaxed geometry. Values from VASP.

Cell and atoms, written as Quantum ESPRESSO input:
```
&SYSTEM
  ibrav = 0, nat = 18, ntyp = 4
/
ATOMIC_SPECIES
Y 88.91 Y.upf
Tl 204.38 Tl.upf
Au 196.97 Au.upf
O 16.00 O.upf
CELL_PARAMETERS angstrom
6.660 0.000 0.000
0.000 6.660 0.000
0.000 0.000 5.958
ATOMIC_POSITIONS crystal
Y 0.177 0.323 0.000
Y 0.323 0.823 0.000
Y 0.677 0.177 0.000
Y 0.823 0.677 0.000
Tl 0.000 0.000 0.500
Tl 0.500 0.500 0.500
Au 0.000 0.500 0.500
Au 0.500 0.000 0.500
O 0.000 0.000 0.000
O 0.133 0.633 0.232
O 0.133 0.633 0.768
O 0.367 0.133 0.232
O 0.367 0.133 0.768
O 0.500 0.500 0.000
O 0.633 0.867 0.232
O 0.633 0.867 0.768
O 0.867 0.367 0.232
O 0.867 0.367 0.768
```

Properties
The value obtained for the total moment is 0.000 μB per atom. The calculation puts the uncorrected formation energy at -2.025 eV/atom.



No. 5
## TePd2Pt (PBE-GGA)

Data for crystalline TePd2Pt at its relaxed geometry. Values from VASP.

Cell and atoms, written as Quantum ESPRESSO input:
```
&SYSTEM
  ibrav = 0, nat = 4, ntyp = 3
/
ATOMIC_SPECIES
Te 127.60 Te.upf
Pd 106.42 Pd.upf
Pt 195.08 Pt.upf
CELL_PARAMETERS angstrom
4.086 0.000 0.000
0.000 4.086 0.000
0.000 0.000 4.134
ATOMIC_POSITIONS crystal
Te 0.000 0.000 0.000
Pd 0.000 0.500 0.500
Pd 0.500 0.000 0.500
Pt 0.500 0.500 0.000
```

Properties
The value obtained for the total moment is 0.000 μB per atom. The value obtained for the energy above the most stable polymorph in this dataset is 46 meV/atom. The calculation puts the uncorrected formation energy at -0.067 eV/atom. Its density of states at the Fermi level is 1.37 states/eV per atom.



No. 6
## Li2CoSi (PBE-GGA)

Data for crystalline Li2CoSi at its relaxed geometry. Values from VASP.

Cell and atoms, written as Quantum ESPRESSO input:
```
&SYSTEM
  ibrav = 0, nat = 4, ntyp = 3
/
ATOMIC_SPECIES
Li 6.94 Li.upf
Co 58.93 Co.upf
Si 28.09 Si.upf
CELL_PARAMETERS angstrom
2.828 0.000 0.000
0.000 2.828 0.000
0.000 0.000 6.715
ATOMIC_POSITIONS crystal
Li 0.000 0.000 0.000
Li 0.500 0.500 0.323
Co 0.500 0.500 0.751
Si 0.000 0.000 0.583
```

Properties
The value obtained for the total moment is 0.000 μB per atom. The calculation puts the uncorrected formation energy at -0.203 eV/atom. Its density of states at the Fermi level is 0.38 states/eV per atom.



No. 7
## Mg2BeOs (PBE-GGA)

Data for crystalline Mg2BeOs at its relaxed geometry. Values from VASP.

Cell and atoms, written as Quantum ESPRESSO input:
```
&SYSTEM
  ibrav = 0, nat = 4, ntyp = 3
/
ATOMIC_SPECIES
Mg 24.30 Mg.upf
Be 9.01 Be.upf
Os 190.23 Os.upf
CELL_PARAMETERS angstrom
2.794 0.000 0.000
0.000 2.794 0.000
0.000 0.000 7.770
ATOMIC_POSITIONS crystal
Mg 0.000 0.000 0.242
Mg 0.000 0.000 0.758
Be 0.500 0.500 0.000
Os 0.500 0.500 0.500
```

Properties
The value obtained for the total moment is 0.000 μB per atom. Its density of states at the Fermi level is 0.87 states/eV per atom. The formation energy is 0.418 eV per atom.



No. 8
## FePAu2 (PBE-GGA)

Data for crystalline FePAu2 at its relaxed geometry. Values from VASP.

Cell and atoms, written as Quantum ESPRESSO input:
```
&SYSTEM
  ibrav = 0, nat = 4, ntyp = 3
/
ATOMIC_SPECIES
Fe 55.84 Fe.upf
P 30.97 P.upf
Au 196.97 Au.upf
CELL_PARAMETERS angstrom
-1.434 1.749 6.371
1.434 -1.749 6.371
1.434 1.749 -6.371
ATOMIC_POSITIONS crystal
Fe 0.000 0.000 0.000
P 0.500 0.500 0.000
Au 0.322 0.822 0.500
Au 0.678 0.178 0.500
```

Properties
The value obtained for the total moment is 0.352 μB per atom. Its density of states at the Fermi level is 0.67 states/eV per atom. The formation energy is 0.115 eV per atom.



No. 9
## PrAlSi (PBE-GGA)

Data for crystalline PrAlSi at its relaxed geometry. Values from VASP.

Cell and atoms, written as Quantum ESPRESSO input:
```
&SYSTEM
  ibrav = 0, nat = 3, ntyp = 3
/
ATOMIC_SPECIES
Pr 140.91 Pr.upf
Al 26.98 Al.upf
Si 28.09 Si.upf
CELL_PARAMETERS angstrom
-2.107 2.107 4.186
2.107 -2.107 4.186
2.107 2.107 -4.186
ATOMIC_POSITIONS crystal
Pr 0.000 0.000 0.000
Al 0.356 0.356 0.000
Si 0.648 0.648 0.000
```

Properties
The value obtained for the total moment is 0.000 μB per atom. The calculation puts the uncorrected formation energy at -0.046 eV/atom. Its density of states at the Fermi level is 0.80 states/eV per atom.



No. 10
## MnIn2Cl (PBE-GGA)

Data for crystalline MnIn2Cl at its relaxed geometry. Values from VASP.

Cell and atoms, written as Quantum ESPRESSO input:
```
&SYSTEM
  ibrav = 0, nat = 4, ntyp = 3
/
ATOMIC_SPECIES
Mn 54.94 Mn.upf
In 114.82 In.upf
Cl 35.45 Cl.upf
CELL_PARAMETERS angstrom
1.811 -2.767 0.000
1.811 2.767 0.000
0.000 0.000 9.990
ATOMIC_POSITIONS crystal
Mn 0.000 0.000 0.000
In 0.000 0.000 0.508
In 0.500 0.500 0.777
Cl 0.500 0.500 0.160
```

Properties
The value obtained for the total moment is 1.117 μB per atom. The value obtained for the energy above the most stable polymorph in this dataset is 8 meV/atom. The calculation puts the uncorrected formation energy at -0.127 eV/atom. Its density of states at the Fermi level is 0.55 states/eV per atom.



No. 11
## MgRe2Hg (PBE-GGA)

Data for crystalline MgRe2Hg at its relaxed geometry. Values from VASP.

Cell and atoms, written as Quantum ESPRESSO input:
```
&SYSTEM
  ibrav = 0, nat = 4, ntyp = 3
/
ATOMIC_SPECIES
Mg 24.30 Mg.upf
Re 186.21 Re.upf
Hg 200.59 Hg.upf
CELL_PARAMETERS angstrom
3.459 0.000 0.000
0.000 3.459 0.000
0.000 0.000 5.752
ATOMIC_POSITIONS crystal
Mg 0.000 0.000 0.000
Re 0.500 0.500 0.209
Re 0.500 0.500 0.791
Hg 0.000 0.000 0.500
```

Properties
The value obtained for the total moment is 0.000 μB per atom. The value obtained for the energy above the most stable polymorph in this dataset is 675 meV/atom. Its density of states at the Fermi level is 1.03 states/eV per atom. The formation energy is 0.861 eV per atom.



No. 12
## Y3FeSb (PBE-GGA)

Data for crystalline Y3FeSb at its relaxed geometry. Values from VASP.

Cell and atoms, written as Quantum ESPRESSO input:
```
&SYSTEM
  ibrav = 0, nat = 5, ntyp = 3
/
ATOMIC_SPECIES
Y 88.91 Y.upf
Fe 55.84 Fe.upf
Sb 121.76 Sb.upf
CELL_PARAMETERS angstrom
5.112 0.000 0.000
0.000 5.112 0.000
0.000 0.000 5.112
ATOMIC_POSITIONS crystal
Y 0.000 0.000 0.500
Y 0.000 0.500 0.000
Y 0.500 0.000 0.000
Fe 0.000 0.000 0.000
Sb 0.500 0.500 0.500
```

Properties
The value obtained for the total moment is 0.000 μB per atom. The value obtained for the energy above the most stable polymorph in this dataset is 0 meV/atom. The calculation puts the uncorrected formation energy at -0.221 eV/atom. Its density of states at the Fermi level is 1.25 states/eV per atom.



No. 13
## UH2Se (PBE-GGA)

Data for crystalline UH2Se at its relaxed geometry. Values from VASP.

Cell and atoms, written as Quantum ESPRESSO input:
```
&SYSTEM
  ibrav = 0, nat = 4, ntyp = 3
/
ATOMIC_SPECIES
U 238.03 U.upf
H 1.01 H.upf
Se 78.96 Se.upf
CELL_PARAMETERS angstrom
2.147 1.240 3.165
-2.147 1.240 3.165
0.000 -2.480 3.165
ATOMIC_POSITIONS crystal
U 0.000 0.000 0.000
H 0.226 0.226 0.226
H 0.774 0.774 0.774
Se 0.500 0.500 0.500
```

Properties
The value obtained for the total moment is 0.479 μB per atom. Its density of states at the Fermi level is 1.10 states/eV per atom. Its total energy is -5.67 eV/atom.



No. 14
## Mn2NbSiNi (PBE-GGA)

Data for crystalline Mn2NbSiNi at its relaxed geometry. Values from VASP.

Cell and atoms, written as Quantum ESPRESSO input:
```
&SYSTEM
  ibrav = 0, nat = 5, ntyp = 4
/
ATOMIC_SPECIES
Mn 54.94 Mn.upf
Nb 92.91 Nb.upf
Si 28.09 Si.upf
Ni 58.69 Ni.upf
CELL_PARAMETERS angstrom
4.398 0.000 0.000
0.000 4.398 0.000
0.000 0.000 4.559
ATOMIC_POSITIONS crystal
Mn 0.000 0.500 0.000
Mn 0.500 0.000 0.000
Nb 0.000 0.000 0.500
Si 0.500 0.500 0.500
Ni 0.000 0.000 0.000
```

Properties
The value obtained for the total moment is 1.427 μB per atom. The calculation puts the uncorrected formation energy at 0.757 eV/atom. Its density of states at the Fermi level is 0.73 states/eV per atom.



No. 15
## Cr2FeCo (PBE-GGA)

Data for crystalline Cr2FeCo at its relaxed geometry. Values from VASP.

Cell and atoms, written as Quantum ESPRESSO input:
```
&SYSTEM
  ibrav = 0, nat = 4, ntyp = 3
/
ATOMIC_SPECIES
Cr 52.00 Cr.upf
Fe 55.84 Fe.upf
Co 58.93 Co.upf
CELL_PARAMETERS angstrom
4.119 -1.241 0.000
4.119 1.241 0.000
-0.692 0.000 4.312
ATOMIC_POSITIONS crystal
Cr 0.000 0.000 0.000
Cr 0.240 0.240 0.712
Fe 0.490 0.490 0.486
Co 0.746 0.746 0.219
```

Properties
The value obtained for the total moment is 0.240 μB per atom. Its density of states at the Fermi level is 1.33 states/eV per atom. The formation energy is 0.125 eV per atom.



No. 16
## BaAcH (PBE-GGA)

Data for crystalline BaAcH at its relaxed geometry. Values from VASP.

Cell and atoms, written as Quantum ESPRESSO input:
```
&SYSTEM
  ibrav = 0, nat = 3, ntyp = 3
/
ATOMIC_SPECIES
Ba 137.33 Ba.upf
Ac 227.00 Ac.upf
H 1.01 H.upf
CELL_PARAMETERS angstrom
2.809 -2.823 0.000
2.809 2.823 0.000
-0.034 0.000 6.012
ATOMIC_POSITIONS crystal
Ba 0.000 0.000 0.000
Ac 0.500 0.500 0.500
H 0.000 0.000 0.500
```

Properties
The value obtained for the total moment is 0.000 μB per atom. The value obtained for the energy above the most stable polymorph in this dataset is 0 meV/atom. Its density of states at the Fermi level is 0.75 states/eV per atom.